## AcSn3Au2 (PBE)

Data for AcSn3Au2 after structural relaxation.

Output
Theoretical density, Mg/m³: 10.0
Calculated total energy, eV/atom: -4.24
DFT formation energy, eV/atom: -0.461
Density of states at the Fermi level, states/eV/atom: 0.485
Calculated volume, A^3/atom: 27.11

Cell lengths 8.947, 8.947, 9.621 Å; angles 121.70, 121.70, 30.23 degrees
Positions (direct):
Ac 0.150 0.150 0.247
Ac 0.850 0.850 0.753
Sn 0.065 0.065 0.752
Sn 0.288 0.288 0.962
Sn 0.418 0.418 0.524
Sn 0.582 0.582 0.476
Sn 0.712 0.712 0.038
Sn 0.935 0.935 0.248
Au 0.185 0.185 0.615
Au 0.483 0.483 0.123
Au 0.517 0.517 0.877
Au 0.815 0.815 0.385

## Sm2Tl5I12 (PBE)

Data for Sm2Tl5I12 after structural relaxation.

Output
Theoretical density, Mg/m³: 5.2
Calculated total energy, eV/atom: -2.99
Density of states at the Fermi level, states/eV/atom: 0.313
Calculated volume, A^3/atom: 47.48

Cell lengths 10.576, 10.576, 11.134 Å; angles 107.92, 107.92, 50.39 degrees
Positions (direct):
Sm 0.246 0.754 0.000
Sm 0.754 0.246 0.000
Tl 0.183 0.183 0.821
Tl 0.222 0.222 0.371
Tl 0.500 0.500 0.500
Tl 0.778 0.778 0.629
Tl 0.817 0.817 0.179
I 0.008 0.008 0.203
I 0.068 0.595 0.910
I 0.122 0.618 0.441
I 0.382 0.878 0.559
I 0.405 0.932 0.090
I 0.497 0.497 0.808
I 0.503 0.503 0.192
I 0.595 0.068 0.910
I 0.618 0.122 0.441
I 0.878 0.382 0.559
I 0.932 0.405 0.090
I 0.992 0.992 0.797

## Th6GeBi3Se2 (PBE)

Data for Th6GeBi3Se2 after structural relaxation.

Output
Theoretical density, Mg/m³: 10.2
Calculated total energy, eV/atom: -6.60
Density of states at the Fermi level, states/eV/atom: 0.614
Calculated volume, A^3/atom: 30.54

Cell lengths 9.933, 9.933, 8.841 Å; angles 104.15, 104.15, 25.73 degrees
Positions (direct):
Th 0.007 0.007 0.230
Th 0.326 0.326 0.438
Th 0.341 0.341 0.901
Th 0.659 0.659 0.099
Th 0.674 0.674 0.562
Th 0.993 0.993 0.770
Ge 0.500 0.500 0.000
Bi 0.167 0.167 0.831
Bi 0.500 0.500 0.500
Bi 0.833 0.833 0.169
Se 0.167 0.167 0.331
Se 0.833 0.833 0.669

## GeTe2AuI (PBE)

Data for GeTe2AuI after structural relaxation.

Output
Theoretical density, Mg/m³: 6.5
Calculated total energy, eV/atom: -2.61
Density of states at the Fermi level, states/eV/atom: 0.768
Calculated volume, A^3/atom: 33.09
Excess energy over the best structure of this formula in the dataset, meV per atom: 0.0

Cell lengths 5.491, 5.491, 5.486 Å; angles 90.00, 90.00, 90.00 degrees
Positions (direct):
Ge 0.000 0.000 0.000
Te 0.000 0.500 0.500
Te 0.500 0.000 0.500
Au 0.500 0.500 0.500
I 0.500 0.500 0.000